KTe2As2 | Alexandria | PBE-GGA | optimized geometry; formation energy (no corrections) = -0.017 eV/atom
1.0
-2.3483 2.3483 6.9482
2.3483 -2.3483 6.9482
2.3483 2.3483 -6.9482
K Te As
1 2 2
Cartesian
0.0000 0.0000 0.0000 K
2.3483 0.0000 3.4741 Te
0.0000 2.3483 3.4741 Te
0.0000 0.0000 5.8120 As
0.0000 0.0000 8.0843 As